Entry 1:
A relaxed CaPmRh crystal, computed with PBE.

abc: 3.475 5.036 9.678
angles: 90.00 100.31 90.00
Fractional coordinates of all 6 atoms:
Ca 0.190 0.250 0.380
Ca 0.810 0.750 0.620
Pm 0.066 0.750 0.131
Pm 0.934 0.250 0.869
Rh 0.441 0.750 0.881
Rh 0.559 0.250 0.119

Calculated values
The value obtained for the distance to the lowest polymorph of the same formula is 55 meV per atom. As for the volume: 27.8 Å³ per atom.



Entry 2:
A relaxed Ca2Pm3Rh2 crystal, computed with PBE.

abc: 6.573 6.573 9.195
angles: 115.95 115.95 34.70
Fractional coordinates of all 7 atoms:
Ca 0.169 0.169 0.307
Ca 0.831 0.831 0.693
Pm 0.382 0.382 0.068
Pm 0.500 0.500 0.500
Pm 0.618 0.618 0.932
Rh 0.170 0.170 0.746
Rh 0.830 0.830 0.254

Calculated values
The calculation puts the calculated total energy at -5.16 eV per atom. As for the volume: 28.7 Å³ per atom.



Entry 3:
A relaxed CaPm2Rh9 crystal, computed with PBE.

abc: 9.329 9.329 9.329
angles: 33.09 33.09 33.09
Fractional coordinates of all 12 atoms:
Ca 0.000 0.000 0.000
Pm 0.138 0.138 0.138
Pm 0.862 0.862 0.862
Rh 0.083 0.581 0.581
Rh 0.333 0.333 0.333
Rh 0.419 0.419 0.917
Rh 0.419 0.917 0.419
Rh 0.500 0.500 0.500
Rh 0.581 0.083 0.581
Rh 0.581 0.581 0.083
Rh 0.667 0.667 0.667
Rh 0.917 0.419 0.419

Calculated values
The calculation puts the calculated total energy at -6.91 eV per atom. As for the volume: 18.0 Å³ per atom.



Entry 4:
A relaxed CaPm3Rh8 crystal, computed with PBE.

abc: 9.357 9.357 9.357
angles: 33.43 33.43 33.43
Fractional coordinates of all 12 atoms:
Ca 0.000 0.000 0.000
Pm 0.124 0.124 0.124
Pm 0.501 0.501 0.501
Pm 0.628 0.628 0.628
Rh 0.063 0.063 0.562
Rh 0.063 0.562 0.063
Rh 0.064 0.563 0.563
Rh 0.313 0.313 0.313
Rh 0.562 0.063 0.063
Rh 0.563 0.064 0.563
Rh 0.563 0.563 0.064
Rh 0.813 0.813 0.813

Calculated values
The calculation puts the calculated total energy at -6.88 eV per atom. As for the volume: 18.5 Å³ per atom.



Entry 5:
A relaxed CaPmRh2 crystal, computed with PBE.

abc: 3.484 3.484 6.933
angles: 90.00 90.00 90.00
Fractional coordinates of all 4 atoms:
Ca 0.000 0.000 0.000
Pm 0.000 0.000 0.500
Rh 0.500 0.500 0.261
Rh 0.500 0.500 0.739

Calculated values
The value obtained for the distance to the lowest polymorph of the same formula is 0 meV per atom. As for the volume: 21.0 Å³ per atom.



Entry 6:
A relaxed CaPm2Rh3 crystal, computed with PBE.

abc: 4.929 4.929 12.066
angles: 90.00 90.00 120.00
Fractional coordinates of all 12 atoms:
Ca 0.333 0.667 0.165
Ca 0.667 0.333 0.835
Pm 0.000 0.000 0.000
Pm 0.000 0.000 0.500
Pm 0.333 0.667 0.674
Pm 0.667 0.333 0.326
Rh 0.000 0.000 0.252
Rh 0.000 0.000 0.748
Rh 0.333 0.667 0.420
Rh 0.333 0.667 0.919
Rh 0.667 0.333 0.081
Rh 0.667 0.333 0.580

Calculated values
The value obtained for the distance to the lowest polymorph of the same formula is 0 meV per atom. As for the volume: 21.2 Å³ per atom.



Entry 7:
A relaxed CaPmRh2 crystal, computed with PBE.

abc: 4.901 4.901 4.901
angles: 60.00 60.00 60.00
Fractional coordinates of all 4 atoms:
Ca 0.000 0.000 0.000
Pm 0.500 0.500 0.500
Rh 0.250 0.250 0.250
Rh 0.750 0.750 0.750

Calculated values
The value obtained for the distance to the lowest polymorph of the same formula is 4 meV per atom. As for the volume: 20.8 Å³ per atom.



Entry 8:
A relaxed Ca2Pm2Rh3 crystal, computed with PBE.

abc: 4.733 4.988 7.858
angles: 71.54 72.59 89.96
Fractional coordinates of all 7 atoms:
Ca 0.121 0.121 0.259
Ca 0.879 0.879 0.741
Pm 0.370 0.370 0.760
Pm 0.630 0.630 0.240
Rh 0.000 0.500 0.500
Rh 0.250 0.750 0.000
Rh 0.750 0.250 0.000

Calculated values
The value obtained for the distance to the lowest polymorph of the same formula is 31 meV per atom. As for the volume: 23.9 Å³ per atom.